No. 1
4
Lattice="-1.472 0.950 2.287 -0.358 -1.706 2.293 7.579 3.192 5.366" Properties=species:S:1:pos:R:3 comment="VGa2Au (PBE, optimized geometry)" formation_enthalpy_0k_ev_per_atom=0.286 crystal_system=trigonal de_polymorph_ev_per_atom=0.427 pbc="T T T"
Au 2.875 1.218 4.973
Ga 5.448 2.296 4.367
Ga 0.302 0.141 5.579
V 0.000 0.000 0.000

***

No. 2
10
Lattice="7.389 0.000 0.000 0.000 7.389 0.000 0.000 0.000 3.305" Properties=species:S:1:pos:R:3 comment="VGa2Au2 (PBE, optimized geometry)" formation_enthalpy_0k_ev_per_atom=0.131 crystal_system=tetragonal de_polymorph_ev_per_atom=0.029 pbc="T T T"
Au 2.685 6.380 0.000
Au 6.380 4.704 0.000
Au 4.704 1.009 0.000
Au 1.009 2.685 0.000
Ga 1.241 4.936 1.652
Ga 4.936 6.148 1.652
Ga 6.148 2.453 1.652
Ga 2.453 1.241 1.652
V 0.000 0.000 0.000
V 3.695 3.695 0.000

***

No. 3
5
Lattice="-2.169 -1.640 -3.971 -2.276 -3.335 2.620 -3.644 3.058 0.727" Properties=species:S:1:pos:R:3 comment="VGaAu3 (PBE, optimized geometry)" formation_enthalpy_0k_ev_per_atom=0.579 crystal_system=cubic de_polymorph_ev_per_atom=0.000 pbc="T T T"
Au -1.138 -1.667 1.310
Au -1.822 1.529 0.364
Au -1.084 -0.820 -1.986
Ga 0.000 0.000 0.000
V -4.044 -0.958 -0.312

***

No. 4
8
Lattice="3.874 0.000 0.000 0.000 3.874 0.000 1.937 1.937 9.623" Properties=species:S:1:pos:R:3 comment="VGaAu2 (PBE, optimized geometry)" formation_enthalpy_0k_ev_per_atom=0.211 crystal_system=tetragonal pbc="T T T"
Au 2.908 0.969 2.406
Au 0.966 2.906 2.406
Au 2.906 2.903 7.217
Au 4.843 4.846 7.217
Ga 0.000 0.000 0.000
Ga 3.874 1.937 4.811
V 1.937 1.937 0.000
V 1.937 3.874 4.811

***

No. 5
12
Lattice="4.455 -0.008 -1.297 -3.326 6.311 -3.162 -0.220 -1.936 7.556" Properties=species:S:1:pos:R:3 comment="V6Ga5Au (PBE, optimized geometry)" formation_enthalpy_0k_ev_per_atom=-0.053 crystal_system=orthorhombic pbc="T T T"
Au 0.000 0.000 0.000
Ga 1.519 -0.641 5.220
Ga -1.248 0.795 4.007
Ga 0.455 2.184 1.548
Ga -2.297 3.580 0.387
Ga -0.609 5.008 -2.123
V 0.786 -0.239 2.702
V 1.200 1.747 4.110
V 2.485 1.233 0.228
V -1.575 3.135 2.868
V -0.290 2.620 -1.014
V 0.123 4.606 0.395

***

No. 6
4
Lattice="3.714 0.000 0.000 0.000 4.088 0.000 0.000 0.000 4.088" Properties=species:S:1:pos:R:3 comment="VGa2Au (PBE, optimized geometry)" formation_enthalpy_0k_ev_per_atom=-0.141 crystal_system=tetragonal de_polymorph_ev_per_atom=0.000 pbc="T T T"
Au 1.857 0.000 0.000
Ga 0.000 0.000 2.044
Ga 0.000 2.044 0.000
V 1.857 2.044 2.044